First-principles (PBE-GGA) data for crystalline Sr2ReIr at its relaxed geometry, as listed in Alexandria.

a = 7.3299 Å, b = 5.7168 Å, c = 2.8927 Å
α = 89.98°, β = 66.78°, γ = 122.78°
Closest atoms and distances in Å follow each position.
Fractional coordinates of all 4 atoms:
Sr: 0.0000 0.0000 0.0000  2 Sr 2.89, 4 Re 3.20, 4 Ir 3.20
Sr: 0.5000 0.0000 0.5000  2 Sr 2.89, 4 Ir 3.20, 4 Re 3.20
Ir: 0.0000 0.5000 0.5000  2 Ir 2.89, 8 Sr 3.20
Re: 0.5000 0.5000 0.0000  2 Re 2.89, 8 Sr 3.20

Values from the calculation:
* DOS at the Fermi energy: 5.13 states/eV/f.u.
* calculated density: 10.2 g/cm3
* formation enthalpy at 0 K: 0.93 eV per atom

=====

First-principles (PBE-GGA) data for crystalline SrReIr2 at its relaxed geometry, as listed in Alexandria.

a = 9.8388 Å, b = 9.8388 Å, c = 9.8388 Å
α = 16.84°, β = 16.84°, γ = 16.84°
Closest atoms and distances in Å follow each position.
Fractional coordinates of all 4 atoms:
Sr: 0.7500 0.7500 0.7500  6 Sr 2.88, 6 Ir 3.22
Ir: 0.5113 0.5113 0.5113  3 Re 2.68, 6 Ir 2.88
Ir: 0.9887 0.9887 0.9887  3 Re 2.68, 6 Ir 2.88
Re: 0.2500 0.2500 0.2500  6 Ir 2.68, 6 Re 2.88

Values from the calculation:
* DOS at the Fermi energy: 2.55 states/eV/f.u.
* calculated density: 15.7 g/cm3
* formation enthalpy at 0 K: 0.51 eV per atom

=====

First-principles (PBE-GGA) data for crystalline SrReIr2 at its relaxed geometry, as listed in Alexandria.

a = 4.9808 Å, b = 4.9808 Å, c = 2.8482 Å
α = 90.00°, β = 90.00°, γ = 90.00°
Closest atoms and distances in Å follow each position.
Fractional coordinates of all 4 atoms:
Re: 0.5000 0.0000 0.5000  2 Re 2.85, 8 Ir 2.87
Ir: 0.0000 0.0000 0.0000  2 Ir 2.85, 4 Re 2.87, 4 Sr 2.87
Ir: 0.5000 0.5000 0.0000  2 Ir 2.85, 4 Sr 2.87, 4 Re 2.87
Sr: 0.0000 0.5000 0.5000  2 Sr 2.85, 8 Ir 2.87

Values from the calculation:
* DOS at the Fermi energy: 5.80 states/eV/f.u.
* calculated density: 15.5 g/cm3
* formation enthalpy at 0 K: 0.54 eV per atom

=====

First-principles (PBE-GGA) data for crystalline Sr2ReIr at its relaxed geometry, as listed in Alexandria.

a = 6.0268 Å, b = 6.0268 Å, c = 5.2234 Å
α = 64.29°, β = 64.29°, γ = 40.62°
Closest atoms and distances in Å follow each position.
Fractional coordinates of all 4 atoms:
Sr: 0.7684 0.7684 0.7316  4 Ir 3.30-3.66, 4 Sr 3.39-3.54, 4 Re 3.46
Sr: 0.9837 0.9837 0.0164  2 Re 3.27, 4 Sr 3.39-3.54, 4 Ir 3.45
Ir: 0.5675 0.5675 0.4327  2 Re 2.38
Re: 0.1804 0.1804 0.3193  2 Ir 2.38

Values from the calculation:
* DOS at the Fermi energy: 3.13 states/eV/f.u.
* calculated density: 8.4 g/cm3
* formation enthalpy at 0 K: 0.33 eV per atom

=====

Number 1: volume 22.5 A^3/atom. Number 2: volume 17.4 A^3/atom. Number 3: volume 17.7 A^3/atom. Number 4: volume 27.4 A^3/atom.